# LiScCl4 PBE optimized geometry
data_LiScCl4
_chemical_formula_sum 'Li4 Sc4 Cl16'
_cell_length_a 8.360
_cell_length_b 8.360
_cell_length_c 8.360
_cell_angle_alpha 90.00
_cell_angle_beta 90.00
_cell_angle_gamma 90.00
_space_group_name_H-M_alt 'F -4 3 m'
_space_group_IT_number 216
_space_group_name_Hall 'F -4 2 3'
loop_
_atom_site_label
_atom_site_type_symbol
_atom_site_fract_x
_atom_site_fract_y
_atom_site_fract_z
_atom_site_occupancy
Li1 Li 0.000 0.000 0.000 1
Sc1 Sc 0.250 0.250 0.750 1
Cl1 Cl 0.125 0.125 0.375 1
# total magnetization = 1.43 μB/f.u.
# mass density = 2.2 g/cm³
# relative energy among the computed polymorphs = 1861 meV per atom